DFT (PBEsol) results for crystalline Rb2Al2Au at its relaxed geometry. Values from VASP.

Geometry as Quantum ESPRESSO input:
```
&SYSTEM
  ibrav = 0, nat = 10, ntyp = 3
/
ATOMIC_SPECIES
Rb 85.47 Rb.upf
Au 196.97 Au.upf
Al 26.98 Al.upf
ATOMIC_POSITIONS crystal
Rb 0.0000 0.2067 0.2933
Au 0.0000 0.0000 0.0000
Al 0.5000 0.9168 0.4168
Rb 0.0000 0.7067 0.2067
Au 0.0000 0.5000 0.5000
Al 0.5000 0.0832 0.5832
Rb 0.0000 0.7933 0.7067
Al 0.5000 0.4168 0.0832
Rb 0.0000 0.2933 0.7933
Al 0.5000 0.5832 0.9168
CELL_PARAMETERS angstrom
-2.2690 -1.9169 0.1347
1.3208 -0.8178 10.6114
-6.8038 8.1575 1.4756
```

- M_tot: 0.0000 μB per atom
- D(E_F): 6.515 states/eV per cell
- Calculated density: 4.1 g/cm3
- Raw total energy: -2.257 eV per atom
- Crystal system: tetragonal
- Formation energy: 277 kJ/mol of formula units